No. 1
Entry from Alexandria via LeMat-Bulk: an optimized crystal structure of Sc2CoSnH (PBE-GGA). Values from VASP.

Structure (Quantum ESPRESSO input):
```
&SYSTEM
  ibrav = 0, nat = 5, ntyp = 4
/
ATOMIC_SPECIES
Sc 44.96 Sc.upf
H 1.01 H.upf
Co 58.93 Co.upf
Sn 118.71 Sn.upf
CELL_PARAMETERS angstrom
-0.576 -4.511 -0.055
3.073 -0.352 -3.335
2.683 -0.373 2.511
ATOMIC_POSITIONS angstrom
Sc 1.536 -0.176 -1.667
Sc -0.288 -2.256 -0.027
H 0.000 0.000 0.000
Co 1.341 -0.187 1.256
Sn 2.590 -2.618 -0.439
```

## Properties
Calculated total energy = -5.869 eV/atom
Magnetization = 0.24 μB/f.u.

No. 2
Entry from Alexandria via LeMat-Bulk: an optimized crystal structure of ScCo2SnH (PBE-GGA). Values from VASP.

Structure (Quantum ESPRESSO input):
```
&SYSTEM
  ibrav = 0, nat = 5, ntyp = 4
/
ATOMIC_SPECIES
Sc 44.96 Sc.upf
H 1.01 H.upf
Co 58.93 Co.upf
Sn 118.71 Sn.upf
CELL_PARAMETERS angstrom
4.025 0.000 0.000
0.000 4.025 0.000
0.000 0.000 3.863
ATOMIC_POSITIONS angstrom
Sc 0.000 0.000 1.931
H 0.000 0.000 0.000
Co 0.000 2.012 0.000
Co 2.012 0.000 0.000
Sn 2.012 2.012 1.931
```

## Properties
Calculated total energy = -5.789 eV/atom
Magnetization = 0.00 μB/f.u.

No. 3
Entry from Alexandria via LeMat-Bulk: an optimized crystal structure of Sc2TlCoH (PBE-GGA). Values from VASP.

Structure (Quantum ESPRESSO input):
```
&SYSTEM
  ibrav = 0, nat = 5, ntyp = 4
/
ATOMIC_SPECIES
Sc 44.96 Sc.upf
H 1.01 H.upf
Tl 204.38 Tl.upf
Co 58.93 Co.upf
CELL_PARAMETERS angstrom
-4.735 0.125 0.070
-0.078 -0.312 -4.727
-0.089 -3.497 0.232
ATOMIC_POSITIONS angstrom
Sc -0.039 -0.156 -2.363
Sc -2.368 0.062 0.035
H 0.000 0.000 0.000
Tl -2.451 -1.842 -2.212
Co -0.044 -1.749 0.116
```

## Properties
Calculated total energy = -5.374 eV/atom
Magnetization = 0.43 μB/f.u.

No. 4
Entry from Alexandria via LeMat-Bulk: an optimized crystal structure of YScCo2H6 (PBE-GGA). Values from VASP.

Structure (Quantum ESPRESSO input):
```
&SYSTEM
  ibrav = 0, nat = 10, ntyp = 4
/
ATOMIC_SPECIES
Y 88.91 Y.upf
Sc 44.96 Sc.upf
Co 58.93 Co.upf
H 1.01 H.upf
CELL_PARAMETERS angstrom
-3.028 -2.800 1.398
-2.519 -2.096 -2.869
1.673 -5.555 -0.717
ATOMIC_POSITIONS angstrom
Y 0.000 0.000 0.000
Sc -1.937 -5.225 -1.094
Co -3.304 -7.394 -1.616
Co -0.570 -3.057 -0.573
H -0.246 -5.860 -2.114
H -0.503 -6.215 0.031
H -2.105 -3.183 -0.776
H -3.628 -4.590 -0.075
H -3.370 -4.235 -2.219
H -1.768 -7.268 -1.412
```

## Properties
Calculated total energy = -5.115 eV/atom
Magnetization = 0.00 μB/f.u.

No. 5
Entry from Alexandria via LeMat-Bulk: an optimized crystal structure of ScZnCo2H8 (PBE-GGA). Values from VASP.

Structure (Quantum ESPRESSO input):
```
&SYSTEM
  ibrav = 0, nat = 12, ntyp = 4
/
ATOMIC_SPECIES
Sc 44.96 Sc.upf
Zn 65.41 Zn.upf
Co 58.93 Co.upf
H 1.01 H.upf
CELL_PARAMETERS angstrom
-0.887 -3.858 1.905
3.161 0.274 -3.039
3.918 1.162 4.179
ATOMIC_POSITIONS angstrom
Sc 1.959 0.581 2.090
Zn 0.000 0.000 0.000
Co 4.248 -0.381 1.208
Co 1.943 -2.041 1.837
H 4.049 0.345 2.585
H 5.561 0.476 1.132
H 5.137 -1.369 2.043
H 1.055 -1.053 1.002
H 2.958 -1.740 2.919
H 3.233 -0.682 0.126
H 2.142 -2.767 0.460
H 0.630 -2.898 1.913
```

## Properties
Calculated total energy = -4.034 eV/atom
Magnetization = 0.00 μB/f.u.

No. 6
Entry from Alexandria via LeMat-Bulk: an optimized crystal structure of ScZnCo2H (PBE-GGA). Values from VASP.

Structure (Quantum ESPRESSO input):
```
&SYSTEM
  ibrav = 0, nat = 5, ntyp = 4
/
ATOMIC_SPECIES
Sc 44.96 Sc.upf
H 1.01 H.upf
Zn 65.41 Zn.upf
Co 58.93 Co.upf
CELL_PARAMETERS angstrom
-3.490 -0.499 -1.482
-1.380 -0.717 3.494
-0.732 3.715 0.473
ATOMIC_POSITIONS angstrom
Sc -0.366 1.858 0.237
H 0.000 0.000 0.000
Zn -2.801 1.249 1.243
Co -0.690 -0.359 1.747
Co -1.745 -0.250 -0.741
```

## Properties
Calculated total energy = -5.211 eV/atom
Magnetization = 0.00 μB/f.u.

Q: Number 3 is which compound?
A: Sc2TlCoH

Q: The highest magnetization belongs to which entry?
A: Sc2TlCoH

What did the fourth record say?
Entry from Alexandria via LeMat-Bulk: an optimized crystal structure of YScCo2H6 (PBE-GGA). Values from VASP.

Structure (Quantum ESPRESSO input):
```
&SYSTEM
  ibrav = 0, nat = 10, ntyp = 4
/
ATOMIC_SPECIES
Y 88.91 Y.upf
Sc 44.96 Sc.upf
Co 58.93 Co.upf
H 1.01 H.upf
CELL_PARAMETERS angstrom
-3.028 -2.800 1.398
-2.519 -2.096 -2.869
1.673 -5.555 -0.717
ATOMIC_POSITIONS angstrom
Y 0.000 0.000 0.000
Sc -1.937 -5.225 -1.094
Co -3.304 -7.394 -1.616
Co -0.570 -3.057 -0.573
H -0.246 -5.860 -2.114
H -0.503 -6.215 0.031
H -2.105 -3.183 -0.776
H -3.628 -4.590 -0.075
H -3.370 -4.235 -2.219
H -1.768 -7.268 -1.412
```

## Properties
Calculated total energy = -5.115 eV/atom
Magnetization = 0.00 μB/f.u.

Q: magnetization of number 3 (Sc2TlCoH)?
A: 0.43 μB/f.u.